1.
# Cs2KCdP

A relaxed structure of Cs2KCdP (PBE-GGA, Alexandria via LeMat-Bulk).

Summary:
DFT formation energy: -0.0239 eV per atom
Space-group type: P4/mmm, No. 123
Energy: -1.850 eV/atom
Magnetization: 0.0 μB per cell

Unit cell a=7.405 b=7.405 c=5.057 alpha=90.00 beta=90.00 gamma=90.00
Atoms (fractional coordinates):
Cs  0.000  0.500  0.000
Cs  0.500  0.000  0.000
P  0.000  0.000  0.000
K  0.500  0.500  0.500
Cd  0.000  0.000  0.500

=====

2.
# LaFeSi2

A relaxed structure of LaFeSi2 (PBE-GGA, Alexandria via LeMat-Bulk).

Summary:
Space-group type: F-43m, No. 216
Energy: -5.864 eV/atom
Magnetization: 1.7 μB per cell
Formation energy without anion corrections: 195 meV/atom

Unit cell a=4.657 b=4.657 c=4.657 alpha=60.00 beta=60.00 gamma=60.00
Atoms (fractional coordinates):
Fe  0.500  0.500  0.500
La  0.750  0.750  0.750
Si  0.000  0.000  0.000
Si  0.250  0.250  0.250